AgMoNF2 after structural relaxation, computed with GGA+U.

abc: 4.3240 4.3240 4.1029
angles: 90.00 90.00 90.00
With the nearest neighbours (Å) after each atom.
Fractional coordinates of all 5 atoms:
Mo (0.5000, 0.5000, 0.5000)  8 F 2.98, 4 N 3.06
N (0.0000, 0.0000, 0.5000)  2 Ag 2.05
Ag (0.0000, 0.0000, 0.0000)  2 N 2.05, 4 F 2.16
F (0.0000, 0.5000, 0.0000)  2 Ag 2.16
F (0.5000, 0.0000, 0.0000)  2 Ag 2.16

Properties
For the density of states at the Fermi level, the calculation gives 1.94 states/eV/cell. The calculation puts the total magnetization at 3.28 Bohr magnetons per cell. The energy relative to the lowest polymorph listed for this composition is 1038 meV per atom.